Compound: CuHgP2
Source: the Alexandria database
Functional: PBE-GGA
Structure: optimized geometry

Geometry as POSCAR:
```
CuHgP2
1.0
-3.419 1.732 -0.717
-0.885 -0.387 3.285
2.425 5.998 2.922
Cu Hg P
1 1 2
direct
0.500 0.250 0.250 Cu
0.500 0.750 0.750 Hg
0.000 0.037 0.136 P
0.000 0.463 0.364 P
```

Calculated values
ΔH_f (0 K) = 11 kJ/mol of atoms